DFT (PBE) results for crystalline OsSe2F at its relaxed geometry.

abc: 9.1488 9.1488 9.1488
angles: 17.80 17.80 17.80
Fractional positions:
Os: 0.0000 0.0000 0.0000
Se: 0.9094 0.9094 0.9094
Se: 0.0906 0.0906 0.0906
F: 0.5000 0.5000 0.5000

Computed properties:
uncorrected formation energy = 0.70 eV/f.u.
SG = R-3m

=====

DFT (PBE) results for crystalline OsSeF3 at its relaxed geometry.

abc: 4.1888 4.1888 4.1888
angles: 90.00 90.00 90.00
Fractional positions:
Os: 0.0000 0.0000 0.0000
Se: 0.5000 0.5000 0.5000
F: 0.0000 0.5000 0.0000
F: 0.0000 0.0000 0.5000
F: 0.5000 0.0000 0.0000

Computed properties:
uncorrected formation energy = -0.76 eV/f.u.
SG = Pm-3m

=====

DFT (PBE) results for crystalline OsSe2F at its relaxed geometry.

abc: 6.9640 6.9640 6.9640
angles: 32.09 32.09 32.09
Fractional positions:
Os: 0.5000 0.5000 0.5000
Se: 0.8908 0.8908 0.8908
Se: 0.1092 0.1092 0.1092
F: 0.0000 0.0000 0.0000

Computed properties:
uncorrected formation energy = -1.28 eV/f.u.
SG = R-3m